{
  "formula": "AlTcMo2",
  "functional": "PBE",
  "state": "optimized geometry",
  "dft_energy_ev_per_atom": -8.37,
  "cell": [[7.170, 0.000, 0.000], [0.000, 7.170, 0.000], [3.585, 3.585, 2.633]],
  "species": ["Mo", "Mo", "Mo", "Mo", "Tc", "Tc", "Al", "Al"],
  "frac_coords": [[0.654, 0.125, 0.250], [0.096, 0.625, 0.250], [0.375, 0.346, 0.750], [0.875, 0.904, 0.750], [0.000, 0.000, 0.000], [0.750, 0.250, 0.500], [0.500, 0.500, 0.000], [0.250, 0.750, 0.500]]
}